(1)
A relaxed Mn2GaS crystal. Source: Alexandria, functional PBE.

## Properties
Offset from the most stable computed form = 64 meV per atom
ΔE_f (raw) = -0.19 eV/atom

extended XYZ file:
```
4
Lattice="1.484 0.857 6.781 -1.484 0.857 6.781 0.000 -1.714 6.781" Properties=species:S:1:pos:R:3 pbc="T T T"
Mn 0.000 0.000 0.000
Mn 0.000 0.000 2.800
Ga 0.000 0.000 11.579
S 0.000 0.000 8.185
```

=====

(2)
A relaxed MnGa3S crystal. Source: Alexandria, functional PBE.

## Properties
Offset from the most stable computed form = 311 meV per atom
ΔE_f (raw) = 0.62 eV/atom

extended XYZ file:
```
5
Lattice="4.771 0.000 0.000 0.000 4.771 0.000 0.000 0.000 4.771" Properties=species:S:1:pos:R:3 pbc="T T T"
Mn 0.000 0.000 0.000
Ga 0.000 2.386 2.386
Ga 2.386 0.000 2.386
Ga 2.386 2.386 0.000
S 2.386 2.386 2.386
```

=====

(3)
A relaxed Mn2GaS crystal. Source: Alexandria, functional PBE.

## Properties
Offset from the most stable computed form = 131 meV per atom
ΔE_f (raw) = -0.12 eV/atom

extended XYZ file:
```
4
Lattice="-1.423 1.531 6.224 1.423 -1.531 6.224 1.423 1.531 -6.224" Properties=species:S:1:pos:R:3 pbc="T T T"
Mn 0.000 0.000 0.000
Mn 0.000 1.531 3.736
Ga 0.000 0.000 7.801
S 1.423 0.000 4.550
```

=====

(4)
A relaxed MnGa2S crystal. Source: Alexandria, functional PBE.

## Properties
Offset from the most stable computed form = 117 meV per atom
ΔE_f (raw) = -0.08 eV/atom

extended XYZ file:
```
4
Lattice="-1.771 4.124 2.326 1.771 -4.124 2.326 1.771 4.124 -2.326" Properties=species:S:1:pos:R:3 pbc="T T T"
Mn 0.000 0.000 0.000
Ga 1.771 1.743 -0.943
Ga 0.000 2.381 1.382
S 0.000 0.000 2.294
```

=====

(5)
A relaxed Mn2Ga2S5 crystal. Source: Alexandria, functional PBE.

## Properties
Offset from the most stable computed form = 0 meV per atom
ΔE_f (raw) = -0.60 eV/atom

extended XYZ file:
```
9
Lattice="3.690 0.000 0.000 -1.845 3.195 0.000 0.000 0.000 15.824" Properties=species:S:1:pos:R:3 pbc="T T T"
Mn 0.000 2.130 1.475
Mn 1.845 1.065 14.349
Ga 0.000 2.130 10.797
Ga 1.845 1.065 5.027
S 0.000 0.000 0.000
S 0.000 2.130 6.053
S 0.000 2.130 13.030
S 1.845 1.065 2.794
S 1.845 1.065 9.771
```

=====

(6)
A relaxed MnGa2S4 crystal. Source: Alexandria, functional PBE.

## Properties
ΔE_f (raw) = -0.54 eV/atom

extended XYZ file:
```
7
Lattice="1.861 1.075 12.610 -1.861 1.075 12.610 0.000 -2.149 12.610" Properties=species:S:1:pos:R:3 pbc="T T T"
Mn 0.000 0.000 0.000
Ga 0.000 0.000 8.966
Ga 0.000 0.000 17.902
S 0.000 0.000 4.334
S 0.000 0.000 13.497
S 0.000 0.000 20.165
S 0.000 0.000 35.406
```

=====

(7)
A relaxed Mn2Ga2S5 crystal. Source: Alexandria, functional PBE.

## Properties
Offset from the most stable computed form = 95 meV per atom
ΔE_f (raw) = -0.51 eV/atom

extended XYZ file:
```
9
Lattice="9.644 -1.843 0.000 9.644 1.843 0.000 -1.733 0.000 6.046" Properties=species:S:1:pos:R:3 pbc="T T T"
Mn 0.874 0.000 1.751
Mn 16.681 0.000 4.295
Ga 7.165 0.000 0.586
Ga 10.390 0.000 5.460
S 3.097 0.000 0.634
S 6.854 0.000 2.775
S 9.644 0.000 0.000
S 10.700 0.000 3.271
S 14.458 0.000 5.412
```

=====

(8)
A relaxed MnGa3S crystal. Source: Alexandria, functional PBE.

## Properties
Offset from the most stable computed form = 0 meV per atom
ΔE_f (raw) = 0.31 eV/atom

extended XYZ file:
```
5
Lattice="4.804 0.000 0.000 0.000 4.804 0.000 0.000 0.000 4.804" Properties=species:S:1:pos:R:3 pbc="T T T"
Mn 0.000 0.000 0.000
Ga 0.000 0.000 2.402
Ga 0.000 2.402 0.000
Ga 2.402 0.000 0.000
S 2.402 2.402 2.402
```

=====

no.,electronic total energy (eV/atom),DOS(E_F) (states/eV per cell),V (Å³/cell)
1,-6.559,2.45,52
2,-3.852,3.37,109
3,-6.492,3.16,54
4,-4.916,1.47,68
5,-5.608,1.62,187
6,-5.076,0.55,151
7,-5.513,0.74,215
8,-4.163,3.30,111